No. 1
La2Nd3Y6 | PBE-GGA | relaxed

Calculated formation energy: 0.1651 eV/atom
VASP energy: -61.127 eV for the cell shown

Structure (POSCAR):
```
La2Nd3Y6
1.0
0.388 -6.092 2.457
1.246 -4.881 -3.488
11.195 0.701 2.224
La Nd Y
2 3 6
Cartesian
6.276 -3.540 0.171 La
6.554 -6.732 1.023 La
0.000 0.000 0.000 Nd
0.534 -3.639 -0.295 Nd
1.101 -7.334 -0.736 Nd
9.424 -5.053 0.301 Y
8.298 -3.977 3.399 Y
8.883 -1.401 0.629 Y
3.286 -1.414 1.283 Y
3.406 -5.219 0.893 Y
3.947 -8.871 0.565 Y
```



No. 2
LaNd10Y6 | PBE-GGA | relaxed

Calculated formation energy: 0.1351 eV/atom
VASP energy: -89.094 eV for the cell shown

Structure (POSCAR):
```
LaNd10Y6
1.0
-0.682 6.585 -2.156
-8.896 -2.179 -3.843
0.716 3.149 9.393
La Nd Y
1 10 6
Cartesian
-0.341 3.293 -1.078 La
-6.465 6.120 2.231 Nd
-0.362 6.296 0.840 Nd
-3.037 4.814 -2.844 Nd
-2.397 1.435 1.163 Nd
0.396 3.438 6.398 Nd
-6.541 -0.407 -3.155 Nd
-2.829 4.666 3.903 Nd
-6.033 2.890 -0.509 Nd
-5.692 -0.403 0.569 Nd
-2.488 1.373 4.981 Nd
-3.486 4.878 0.568 Y
-0.016 6.507 4.448 Y
-6.082 3.145 -3.905 Y
-5.376 2.677 2.826 Y
0.050 3.227 2.789 Y
-3.496 1.261 -2.094 Y
```



No. 3
La2Nd8Y | PBE-GGA | relaxed

Calculated formation energy: 0.0144 eV/atom
VASP energy: -54.303 eV for the cell shown

Structure (POSCAR):
```
La2Nd8Y
1.0
-1.938 -4.814 -0.568
6.686 -3.123 3.660
-5.120 4.038 7.236
La Nd Y
2 8 1
Cartesian
1.490 -1.247 5.486 La
-1.862 -2.652 4.842 La
0.962 -3.527 2.620 Nd
-3.271 0.754 4.774 Nd
-0.458 -0.115 2.537 Nd
4.326 -2.129 3.286 Nd
0.086 -3.784 7.790 Nd
2.899 -4.652 5.553 Nd
-1.334 -0.372 7.707 Nd
-4.698 -1.770 7.041 Nd
-0.969 -2.407 -0.284 Y
```



No. 4
La16Nd7Y6 | PBE-GGA | relaxed

Calculated formation energy: 0.1922 eV/atom
VASP energy: -145.425 eV for the cell shown

Structure (POSCAR):
```
La16Nd7Y6
1.0
9.998 0.000 5.772
3.333 9.426 5.772
0.000 0.000 11.544
La Nd Y
16 7 6
Cartesian
11.668 8.251 14.423 La
11.668 8.251 20.210 La
9.998 3.525 17.316 La
6.656 8.251 17.316 La
1.662 1.175 2.878 La
1.662 1.175 8.666 La
3.333 5.900 5.772 La
6.674 1.175 5.772 La
8.698 6.150 8.024 La
8.698 6.150 15.065 La
6.665 0.401 11.544 La
2.600 6.150 11.544 La
4.633 3.276 8.024 La
4.633 3.276 15.065 La
6.665 9.024 11.544 La
10.730 3.276 11.544 La
0.000 0.000 0.000 Nd
4.999 0.000 8.658 Nd
1.666 4.713 2.886 Nd
1.666 4.713 8.658 Nd
4.999 0.000 2.886 Nd
0.000 0.000 5.772 Nd
6.665 4.713 5.772 Nd
5.108 6.915 8.847 Y
8.222 2.510 14.242 Y
8.222 2.510 8.847 Y
5.108 6.915 14.242 Y
9.780 6.915 11.544 Y
3.550 2.510 11.544 Y
```



No. 5
La6NdZn | PBE-GGA | relaxed

Calculated formation energy: -0.0159 eV/atom
VASP energy: -35.734 eV for the cell shown

Structure (POSCAR):
```
La6NdZn
1.0
5.467 0.000 0.000
0.000 6.969 -1.411
0.000 -0.178 7.108
La Nd Zn
6 1 1
Cartesian
0.000 3.950 5.273 La
0.000 0.912 2.724 La
0.000 4.376 1.680 La
2.733 6.402 3.422 La
2.733 2.309 -0.013 La
2.733 5.908 -0.145 La
2.733 2.907 3.431 Nd
0.000 0.399 6.420 Zn
```



No. 6
La6Nd2Zn | PBE-GGA | relaxed

Calculated formation energy: -0.0143 eV/atom
VASP energy: -81.006 eV for the cell shown

Structure (POSCAR):
```
La6Nd2Zn
1.0
-5.046 0.732 -2.191
-0.255 -10.191 -2.816
-4.399 -2.462 9.309
La Nd Zn
12 4 2
Cartesian
-5.898 -0.162 -0.526 La
-7.608 -7.645 0.913 La
-0.628 -4.153 0.059 La
-4.415 -9.519 -0.039 La
-6.784 -3.937 7.281 La
-4.019 -5.912 0.252 La
-3.802 -11.760 4.829 La
-2.092 -4.276 3.389 La
-9.072 -7.769 4.243 La
-5.285 -2.403 4.341 La
-2.916 -7.984 -2.978 La
-5.681 -6.010 4.050 La
-8.544 -4.039 4.272 Nd
-5.894 -9.358 3.421 Nd
-3.806 -2.564 0.881 Nd
-1.156 -7.883 0.030 Nd
-2.650 -4.730 -2.503 Zn
-2.200 -1.231 4.655 Zn
```



No. 7
La8Nd2Zn | PBE-GGA | relaxed

Calculated formation energy: -0.0232 eV/atom
VASP energy: -50.485 eV for the cell shown

Structure (POSCAR):
```
La8Nd2Zn
1.0
5.603 0.000 -1.608
-0.109 6.612 -0.381
-0.051 -0.055 10.384
La Nd Zn
8 2 1
Cartesian
2.271 2.524 7.912 La
3.642 0.804 2.123 La
4.680 1.302 5.740 La
5.263 4.910 7.772 La
0.762 5.255 2.655 La
1.801 5.753 6.272 La
3.171 4.033 0.483 La
0.179 1.647 0.623 La
4.177 4.398 3.986 Nd
1.266 2.159 4.409 Nd
2.802 0.000 -0.804 Zn
```



No. 8
LaNd3Zn | PBE-GGA | relaxed

Calculated formation energy: 0.0440 eV/atom
VASP energy: -40.570 eV for the cell shown

Structure (POSCAR):
```
LaNd3Zn
1.0
7.776 -0.258 -0.320
-2.376 7.409 0.320
-3.287 -3.132 6.039
La Nd Zn
2 6 2
Cartesian
3.042 -2.297 4.530 La
-0.929 6.316 1.509 La
5.186 -0.500 1.744 Nd
-0.477 2.557 2.065 Nd
2.589 1.462 3.975 Nd
3.991 2.600 0.632 Nd
-3.073 4.518 4.295 Nd
-1.878 1.418 5.408 Nd
2.018 4.090 2.318 Zn
0.094 -0.071 3.721 Zn
```